{"formula": "YTe2Mo", "functional": "GGA-PBE", "state": "relaxed", "cell": [[-1.5924, 3.1741, 1.2197], [-0.5290, -1.5616, 3.3734], [6.5218, 2.4441, 2.1543]], "species": ["Te", "Te", "Y", "Mo"], "frac_coords": [[0.0000, 0.0000, 0.9221], [0.5000, 0.5000, 0.3219], [0.0000, 0.0000, 0.5021], [0.5000, 0.5000, 0.7539]], "e_form_raw_ev_per_atom": -0.383, "polymorph_energy_mev_per_atom": 0, "volume_a3_per_fu": 103, "sg": "P4mm, No. 99"}